1.
Below is an optimized crystal structure of Li3Ag, with properties calculated at the GGA-PBE level.

The structure in extended XYZ format:
```
16
Lattice="5.802 0.000 0.000 0.000 10.047 0.000 0.000 0.000 4.647" Properties=species:S:1:pos:R:3 pbc="T T T"
Li 0.000 1.726 1.162
Li 0.000 8.321 3.485
Li 1.402 4.161 1.162
Li 1.402 5.887 3.485
Li 1.499 0.863 3.485
Li 1.499 9.184 1.162
Li 2.901 3.297 3.485
Li 2.901 6.750 1.162
Li 4.303 0.863 3.485
Li 4.303 9.184 1.162
Li 4.399 4.161 1.162
Li 4.399 5.887 3.485
Ag 0.000 3.345 3.485
Ag 0.000 6.702 1.162
Ag 2.901 1.678 1.162
Ag 2.901 8.369 3.485
```

Its crystal system is orthorhombic. Its formation energy is -0.14 eV per atom. The space group is Cmcm (63).


2.
Below is an optimized crystal structure of Dy6Te5Au, with properties calculated at the GGA-PBE level.

The structure in extended XYZ format:
```
12
Lattice="3.778 -6.514 0.000 3.778 6.514 0.000 -2.494 0.000 7.106" Properties=species:S:1:pos:R:3 pbc="T T T"
Dy -0.077 2.022 5.202
Dy 1.079 0.000 1.836
Dy -0.077 -2.022 5.202
Dy 5.139 2.022 1.904
Dy 3.983 0.000 5.270
Dy 5.139 -2.022 1.904
Te 3.778 4.195 0.000
Te 2.531 2.135 3.553
Te 3.778 0.000 0.000
Te 2.531 -2.135 3.553
Te 3.778 -4.195 0.000
Au -1.247 0.000 3.553
```

Its crystal system is monoclinic. Its uncorrected formation energy is -1.253 eV/atom. The space group is C2/m (12).


3.
Below is an optimized crystal structure of Pm2PaP3, with properties calculated at the GGA-PBE level.

The structure in extended XYZ format:
```
24
Lattice="0.000 5.753 12.196 4.071 0.000 12.196 4.071 5.753 0.000" Properties=species:S:1:pos:R:3 pbc="T T T"
Pm 1.018 1.438 1.043
Pm 3.054 4.315 3.014
Pm 1.018 1.438 5.055
Pm 5.089 7.191 9.112
Pm 3.054 4.315 15.279
Pm 7.125 10.067 19.336
Pm 5.089 7.191 21.377
Pm 7.125 10.067 23.348
Pa 3.054 4.315 7.110
Pa 3.054 4.315 11.183
Pa 5.089 7.191 13.208
Pa 5.089 7.191 17.281
P 3.104 1.510 7.055
P 4.990 4.315 9.147
P 3.003 1.510 11.239
P 5.039 4.387 13.152
P 7.026 7.191 15.244
P 5.140 4.387 17.337
P 3.003 7.119 7.055
P 1.117 4.315 9.147
P 3.104 7.119 11.239
P 5.140 9.995 13.152
P 3.153 7.191 15.244
P 5.039 9.995 17.337
```

Its crystal system is orthorhombic. Its formation energy is -1.49 eV per atom. The space group is Fddd (70).


4.
Below is an optimized crystal structure of LaBeIn2, with properties calculated at the GGA-PBE level.

The structure in extended XYZ format:
```
4
Lattice="4.548 0.000 0.000 0.000 4.548 0.000 0.000 0.000 4.718" Properties=species:S:1:pos:R:3 pbc="T T T"
La 0.000 0.000 0.000
Be 2.274 2.274 0.000
In 0.000 2.274 2.359
In 2.274 0.000 2.359
```

Its crystal system is tetragonal. Its formation energy is -0.04 eV per atom. The space group is P4/mmm (123).


5.
Below is an optimized crystal structure of BaPm4Sn5, with properties calculated at the GGA-PBE level.

The structure in extended XYZ format:
```
10
Lattice="3.581 0.000 0.000 0.000 3.581 0.000 0.000 0.000 23.094" Properties=species:S:1:pos:R:3 pbc="T T T"
Ba 0.000 0.000 0.000
Pm 0.000 0.000 4.843
Pm 0.000 0.000 9.316
Pm 0.000 0.000 13.779
Pm 0.000 0.000 18.252
Sn 1.790 1.790 2.612
Sn 1.790 1.790 7.079
Sn 1.790 1.790 11.547
Sn 1.790 1.790 16.015
Sn 1.790 1.790 20.482
```

Its crystal system is tetragonal. Its formation energy is -0.65 eV per atom. The space group is P4/mmm (123).


6.
Below is an optimized crystal structure of Pu3AsC, with properties calculated at the GGA-PBE level.

The structure in extended XYZ format:
```
5
Lattice="4.799 0.000 0.000 0.000 4.799 0.000 0.000 0.000 4.799" Properties=species:S:1:pos:R:3 pbc="T T T"
Pu 0.000 0.000 2.400
Pu 0.000 2.400 0.000
Pu 2.400 0.000 0.000
As 2.400 2.400 2.400
C 0.000 0.000 0.000
```

Its crystal system is cubic. Its formation energy is -0.27 eV per atom. The space group is Pm-3m (221).


7.
Below is an optimized crystal structure of BaZrPb, with properties calculated at the GGA-PBE level.

The structure in extended XYZ format:
```
3
Lattice="5.100 0.000 0.000 -2.550 4.417 0.000 0.000 0.000 4.844" Properties=species:S:1:pos:R:3 pbc="T T T"
Ba 0.000 0.000 0.000
Zr 0.000 2.945 2.422
Pb 2.550 1.472 2.422
```

Its crystal system is hexagonal. Its formation energy is 0.11 eV per atom. The space group is P-6m2 (187).


8.
Below is an optimized crystal structure of SrTl5, with properties calculated at the GGA-PBE level.

The structure in extended XYZ format:
```
6
Lattice="0.000 4.607 4.607 4.607 0.000 4.607 4.607 4.607 0.000" Properties=species:S:1:pos:R:3 pbc="T T T"
Sr 0.000 0.000 0.000
Tl 5.756 3.459 3.459
Tl 2.304 2.304 2.304
Tl 3.459 5.756 3.459
Tl 3.459 3.459 5.756
Tl 5.756 5.756 5.756
```

Its crystal system is cubic. Its formation energy is -0.12 eV per atom. The space group is F-43m (216).


The records above give, respectively, total magnetization values of 0.00, 0.00, 0.00, 0.00, 0.00, 3.32, 0.28, 0.00 μB/atom.
The records above give, respectively, calculated total energy values of -2.2913, -5.1359, -7.3660, -3.5741, -4.7401, -11.6472, -4.6118, -2.3675 eV/atom.